Entry 1:
La2PtBr | GGA-PBEsol | optimized geometry

As for the magnetization: 0.001 Bohr magnetons per cell. The value obtained for the energy relative to the elements, uncorrected is -124 kJ/mol of atoms. The excess energy over the best structure of this formula in the dataset comes out at 0.000 eV/atom.

The space group is R-3m (No. 166, hexagonal axes) and the conventional cell measures 4.2112, 4.2112 and 22.9620 Å, with angles of 90.00, 90.00 and 120.00 degrees. The inequivalent atoms are La at (0.0000, 0.0000, 0.2348), Pt at (0.0000, 0.0000, 0.5000) and Br at (0.0000, 0.0000, 0.0000).



Entry 2:
SrAs5 | GGA-PBEsol | optimized geometry

As for the magnetization: 0.000 Bohr magnetons per cell. For the formation energy, the calculation gives -0.86 eV/f.u.

The space group is P-62m (No. 189) and the conventional cell measures 6.4992, 6.4992 and 3.7118 Å, with angles of 90.00, 90.00 and 120.00 degrees. The inequivalent atoms are Sr at (0.0000, 0.0000, 0.0000), As at (0.0000, 0.4154, 0.5000) and As at (0.3333, 0.6667, 0.0000).



Entry 3:
FeNi2W | GGA-PBEsol | optimized geometry

As for the magnetization: 0.000 Bohr magnetons per cell. For the formation energy, the calculation gives -0.19 eV/f.u. The excess energy over the best structure of this formula in the dataset comes out at 0.000 eV/atom.

The space group is P4/mmm (No. 123) and the conventional cell measures 3.489, 3.489 and 3.744 Å, with angles of 90.00, 90.00 and 90.00 degrees. The inequivalent atoms are Fe at (0.000, 0.000, 0.000), Ni at (0.000, 0.500, 0.500) and W at (0.500, 0.500, 0.000).